A plane-wave DFT calculation with SCAN was carried out for a PBEsol-optimized structure of CdPBr3.

VASP energy (eV/atom): -19.8173
Formation energy without anion corrections (eV/f.u.): 0.10
SG: Pm-3m (221)
Size of the total moment (μB per cell): 0.00

Lattice parameters (Å, degrees): 5.0696 5.0696 5.0696 90.00 90.00 90.00
Closest atoms and distances in Å follow each position.
Positions (direct):
Br  0.0000  0.5000  0.0000  2 P 2.53
Br  0.5000  0.0000  0.0000  2 P 2.53
Br  0.0000  0.0000  0.5000  2 P 2.53
Cd  0.5000  0.5000  0.5000  12 Br 3.58
P  0.0000  0.0000  0.0000  6 Br 2.53


A plane-wave DFT calculation with SCAN was carried out for a PBEsol-optimized structure of TiCoO3.

VASP energy (eV/atom): -12.3083
Formation energy without anion corrections (eV/f.u.): -9.51
SG: Pm-3m (221)
Size of the total moment (μB per cell): 3.00

Lattice parameters (Å, degrees): 3.7917 3.7917 3.7917 90.00 90.00 90.00
Closest atoms and distances in Å follow each position.
Positions (direct):
Ti  0.0000  0.0000  0.0000  6 O 1.90
O  0.0000  0.5000  0.0000  2 Ti 1.90
O  0.0000  0.0000  0.5000  2 Ti 1.90
O  0.5000  0.0000  0.0000  2 Ti 1.90
Co  0.5000  0.5000  0.5000  12 O 2.68


A plane-wave DFT calculation with SCAN was carried out for a PBEsol-optimized structure of ScBe2Au.

VASP energy (eV/atom): -23.5233
SG: R-3m (166)
Formation energy (eV per atom): -0.498
Size of the total moment (μB per cell): 0.00

Lattice parameters (Å, degrees): 3.9000 3.9000 4.8983 66.54 66.54 60.00
Closest atoms and distances in Å follow each position.
Positions (direct):
Au  0.5000  0.5000  0.5000  6 Be 2.31
Be  0.7953  0.7953  0.6141  3 Au 2.31, 3 Be 2.46
Be  0.2047  0.2047  0.3859  3 Au 2.31, 3 Be 2.46
Sc  0.0000  0.0000  0.0000  8 Be 2.67-2.81